This record from Alexandria via LeMat-Bulk describes Te2AsN after structural relaxation. The functional is PBE-GGA.

Calculated values
E_form (uncorrected): 781 meV/atom
Electronic total energy: -64.54 eV/cell
Offset from the most stable computed form: 0.0006 eV/atom
Size of the total moment: 0.00 μB/cell
DOS(E_F): 0.535 states/eV/atom

abc: 6.6987 6.6987 8.2559
angles: 90.00 90.00 90.00
With the nearest neighbours (Å) after each atom.
Space group I-42d (No. 122)
Inequivalent atoms, fractional coordinates:
Te  0.1866  0.2500  0.1250 [8 per cell]  2 N 2.33
As  0.0000  0.0000  0.5000 [4 per cell]  4 Te 2.88
N  0.0000  0.0000  0.0000 [4 per cell]  4 Te 2.33

=====

This record from Alexandria via LeMat-Bulk describes Te2AsN after structural relaxation. The functional is PBE-GGA.

Calculated values
E_form (uncorrected): 987 meV/atom
Electronic total energy: -45.93 eV/cell
Offset from the most stable computed form: 0.2070 eV/atom
Size of the total moment: 0.00 μB/cell
DOS(E_F): 0.614 states/eV/atom

abc: 3.2173 3.2173 27.8973
angles: 90.00 90.00 120.00
With the nearest neighbours (Å) after each atom.
Space group R-3m (No. 166, hexagonal axes)
Inequivalent atoms, fractional coordinates:
Te  0.0000  0.0000  0.1069 [6 per cell]  3 N 2.50
As  0.0000  0.0000  0.0000 [3 per cell]  2 Te 2.98, 6 As 3.22
N  0.0000  0.0000  0.5000 [3 per cell]  6 Te 2.50

=====

This record from Alexandria via LeMat-Bulk describes ThTe2AsN after structural relaxation. The functional is PBE-GGA.

Calculated values
E_form (uncorrected): -865 meV/atom
Electronic total energy: -62.00 eV/cell
Size of the total moment: 0.00 μB/cell
DOS(E_F): 0.223 states/eV/atom

abc: 4.1250 4.1250 15.3252
angles: 90.00 90.00 90.00
With the nearest neighbours (Å) after each atom.
Space group P4/nmm (No. 129, origin choice 2)
Inequivalent atoms, fractional coordinates:
Th  0.2500  0.2500  0.0751 [2 per cell]  4 N 2.36
Te  0.2500  0.2500  0.4049 [2 per cell]  4 As 2.97
Te  0.2500  0.2500  0.8033 [2 per cell]  1 As 2.65
As  0.2500  0.2500  0.6305 [2 per cell]  1 Te 2.65
N  0.2500  0.7500  0.0000 [2 per cell]  4 Th 2.36

=====

This record from Alexandria via LeMat-Bulk describes TiTe2AsN after structural relaxation. The functional is PBE-GGA.

Calculated values
E_form (uncorrected): 721 meV/atom
Electronic total energy: -23.55 eV/cell
Offset from the most stable computed form: 0.5604 eV/atom
Size of the total moment: 2.01 μB/cell
DOS(E_F): 1.232 states/eV/atom

abc: 5.5776 5.5776 3.6233
angles: 90.00 90.00 90.00
With the nearest neighbours (Å) after each atom.
Space group P4/mmm (No. 123)
Inequivalent atoms, fractional coordinates:
Ti  0.0000  0.0000  0.0000 [1 per cell]  8 Te 3.33, 2 Ti 3.62
Te  0.0000  0.5000  0.5000 [2 per cell]  2 As 2.79
As  0.5000  0.5000  0.5000 [1 per cell]  2 N 1.81
N  0.5000  0.5000  0.0000 [1 per cell]  2 As 1.81

=====

This record from Alexandria via LeMat-Bulk describes TiTe2AsN after structural relaxation. The functional is PBE-GGA.

Calculated values
E_form (uncorrected): 161 meV/atom
Electronic total energy: -26.35 eV/cell
Offset from the most stable computed form: 0.0000 eV/atom
Size of the total moment: 0.00 μB/cell
DOS(E_F): 0.980 states/eV/atom

abc: 5.4913 5.4913 3.7369
angles: 90.00 90.00 90.00
With the nearest neighbours (Å) after each atom.
Space group P4/mmm (No. 123)
Inequivalent atoms, fractional coordinates:
Ti  0.0000  0.0000  0.0000 [1 per cell]  2 N 1.87
Te  0.0000  0.5000  0.0000 [2 per cell]  2 Ti 2.75
As  0.5000  0.5000  0.5000 [1 per cell]  8 Te 3.32
N  0.0000  0.0000  0.5000 [1 per cell]  2 Ti 1.87

=====

This record from Alexandria via LeMat-Bulk describes TlTe2AsN after structural relaxation. The functional is PBE-GGA.

Calculated values
E_form (uncorrected): 581 meV/atom
Electronic total energy: -18.72 eV/cell
Offset from the most stable computed form: 0.0000 eV/atom
Size of the total moment: 0.00 μB/cell
DOS(E_F): 0.926 states/eV/atom

abc: 6.1731 6.1731 3.5538
angles: 90.00 90.00 90.00
With the nearest neighbours (Å) after each atom.
Space group P4/mmm (No. 123)
Inequivalent atoms, fractional coordinates:
Tl  0.0000  0.0000  0.0000 [1 per cell]  2 Tl 3.55, 8 Te 3.56
Te  0.0000  0.5000  0.5000 [2 per cell]  2 As 3.09
As  0.5000  0.5000  0.5000 [1 per cell]  2 N 1.78
N  0.5000  0.5000  0.0000 [1 per cell]  2 As 1.78

=====

This record from Alexandria via LeMat-Bulk describes TlTe2AsN after structural relaxation. The functional is PBE-GGA.

Calculated values
E_form (uncorrected): 1351 meV/atom
Electronic total energy: -14.87 eV/cell
Offset from the most stable computed form: 0.7701 eV/atom
Size of the total moment: 1.81 μB/cell
DOS(E_F): 0.897 states/eV/atom

abc: 5.8655 5.8655 4.1849
angles: 90.00 90.00 90.00
With the nearest neighbours (Å) after each atom.
Space group P4/mmm (No. 123)
Inequivalent atoms, fractional coordinates:
Tl  0.0000  0.0000  0.0000 [1 per cell]  2 N 2.09
Te  0.0000  0.5000  0.0000 [2 per cell]  2 Tl 2.93
As  0.5000  0.5000  0.5000 [1 per cell]  8 Te 3.60
N  0.0000  0.0000  0.5000 [1 per cell]  2 Tl 2.09

=====

This record from Alexandria via LeMat-Bulk describes UTe2AsN after structural relaxation. The functional is PBE-GGA.

Calculated values
E_form (uncorrected): -665 meV/atom
Electronic total energy: -67.74 eV/cell
Size of the total moment: 2.91 μB/cell
DOS(E_F): 1.353 states/eV/atom

abc: 4.0255 4.0255 14.2589
angles: 90.00 90.00 90.00
With the nearest neighbours (Å) after each atom.
Space group P4/nmm (No. 129, origin choice 2)
Inequivalent atoms, fractional coordinates:
U  0.2500  0.2500  0.0768 [2 per cell]  4 N 2.29
Te  0.2500  0.2500  0.3930 [2 per cell]  5 As 2.85-2.99
Te  0.2500  0.2500  0.8047 [2 per cell]  1 As 2.88
As  0.2500  0.2500  0.6029 [2 per cell]  6 Te 2.85-2.99
N  0.2500  0.7500  0.0000 [2 per cell]  4 U 2.29

=====

This record from Alexandria via LeMat-Bulk describes VTe2AsN after structural relaxation. The functional is PBE-GGA.

Calculated values
E_form (uncorrected): 1924 meV/atom
Electronic total energy: -18.76 eV/cell
Offset from the most stable computed form: 1.7052 eV/atom
Size of the total moment: 0.00 μB/cell
DOS(E_F): 1.475 states/eV/atom

abc: 5.3637 5.3637 4.5832
angles: 90.00 90.00 90.00
With the nearest neighbours (Å) after each atom.
Space group P4/mmm (No. 123)
Inequivalent atoms, fractional coordinates:
V  0.0000  0.0000  0.0000 [1 per cell]  2 As 2.29
Te  0.0000  0.5000  0.5000 [2 per cell]  2 As 2.68
As  0.0000  0.0000  0.5000 [1 per cell]  2 V 2.29
N  0.5000  0.5000  0.0000 [1 per cell]  8 Te 3.53, 4 V 3.79

=====

This record from Alexandria via LeMat-Bulk describes VTe2AsN after structural relaxation. The functional is PBE-GGA.

Calculated values
E_form (uncorrected): 899 meV/atom
Electronic total energy: -23.88 eV/cell
Offset from the most stable computed form: 0.6801 eV/atom
Size of the total moment: 3.15 μB/cell
DOS(E_F): 0.837 states/eV/atom

abc: 5.5765 5.5765 3.5954
angles: 90.00 90.00 90.00
With the nearest neighbours (Å) after each atom.
Space group P4/mmm (No. 123)
Inequivalent atoms, fractional coordinates:
V  0.0000  0.0000  0.0000 [1 per cell]  8 Te 3.32, 2 V 3.60
Te  0.0000  0.5000  0.5000 [2 per cell]  2 As 2.79
As  0.5000  0.5000  0.5000 [1 per cell]  2 N 1.80
N  0.5000  0.5000  0.0000 [1 per cell]  2 As 1.80

=====

This record from Alexandria via LeMat-Bulk describes VTe2AsN after structural relaxation. The functional is PBE-GGA.

Calculated values
E_form (uncorrected): 219 meV/atom
Electronic total energy: -27.28 eV/cell
Offset from the most stable computed form: 0.0000 eV/atom
Size of the total moment: 0.70 μB/cell
DOS(E_F): 0.763 states/eV/atom

abc: 5.3608 5.3608 3.6443
angles: 90.00 90.00 90.00
With the nearest neighbours (Å) after each atom.
Space group P4/mmm (No. 123)
Inequivalent atoms, fractional coordinates:
V  0.0000  0.0000  0.0000 [1 per cell]  2 N 1.82
Te  0.0000  0.5000  0.0000 [2 per cell]  2 V 2.68
As  0.5000  0.5000  0.5000 [1 per cell]  8 Te 3.24
N  0.0000  0.0000  0.5000 [1 per cell]  2 V 1.82

=====

This record from Alexandria via LeMat-Bulk describes Te2AsWN after structural relaxation. The functional is PBE-GGA.

Calculated values
E_form (uncorrected): 1432 meV/atom
Electronic total energy: -25.05 eV/cell
Offset from the most stable computed form: 0.9898 eV/atom
Size of the total moment: 2.24 μB/cell
DOS(E_F): 0.691 states/eV/atom

abc: 5.4705 5.4705 3.5586
angles: 90.00 90.00 90.00
With the nearest neighbours (Å) after each atom.
Space group P4/mmm (No. 123)
Inequivalent atoms, fractional coordinates:
Te  0.0000  0.5000  0.0000 [2 per cell]  2 As 2.74
As  0.0000  0.0000  0.0000 [1 per cell]  2 N 1.78
W  0.5000  0.5000  0.5000 [1 per cell]  8 Te 3.26, 2 W 3.56
N  0.0000  0.0000  0.5000 [1 per cell]  2 As 1.78

=====

This record from Alexandria via LeMat-Bulk describes Te2AsWN after structural relaxation. The functional is PBE-GGA.

Calculated values
E_form (uncorrected): 442 meV/atom
Electronic total energy: -30.00 eV/cell
Offset from the most stable computed form: 0.0000 eV/atom
Size of the total moment: 0.00 μB/cell
DOS(E_F): 0.633 states/eV/atom

abc: 5.4243 5.4243 3.8127
angles: 90.00 90.00 90.00
With the nearest neighbours (Å) after each atom.
Space group P4/mmm (No. 123)
Inequivalent atoms, fractional coordinates:
Te  0.0000  0.5000  0.0000 [2 per cell]  2 W 2.71
As  0.0000  0.0000  0.5000 [1 per cell]  8 Te 3.32
W  0.5000  0.5000  0.0000 [1 per cell]  2 N 1.91
N  0.5000  0.5000  0.5000 [1 per cell]  2 W 1.91